First-principles (PBE+U) data for a relaxed La2NpFeO8 crystal, as listed in Alexandria via LeMat-Bulk.

Cell lengths 4.388, 5.403, 7.624 Å; angles 80.16, 85.33, 80.58 degrees
Element x y z (fractional)
La: 0.040 0.056 0.232
La: 0.960 0.944 0.768
Np: 0.500 0.500 0.500
Fe: 0.500 0.500 0.000
O: 0.093 0.719 0.511
O: 0.175 0.755 0.037
O: 0.408 0.217 0.673
O: 0.466 0.333 0.244
O: 0.534 0.667 0.756
O: 0.592 0.783 0.327
O: 0.825 0.245 0.963
O: 0.907 0.281 0.489

Summary:
Uncorrected energy = -8.32 eV per atom
Total magnetic moment = 3.01 μB per formula unit